[1]
Below is a relaxed ReTe7 crystal, with properties calculated at the GGA-PBEsol level.

Computed properties:
energy relative to the elements, uncorrected: 0.83 eV/atom
density: 9.2 g cm⁻³

The structure in CIF format:
```
data_ReTe7
_chemical_formula_sum 'Re4 Te28'
_cell_length_a 9.205
_cell_length_b 9.205
_cell_length_c 9.205
_cell_angle_alpha 90.00
_cell_angle_beta 90.00
_cell_angle_gamma 90.00
_space_group_name_H-M_alt 'F m -3 m'
_space_group_IT_number 225
_space_group_name_Hall '-F 4 2 3'
loop_
_atom_site_label
_atom_site_type_symbol
_atom_site_fract_x
_atom_site_fract_y
_atom_site_fract_z
_atom_site_occupancy
Re1 Re 0.000 0.000 0.000 1
Te1 Te 0.000 0.000 0.500 1
Te2 Te 0.000 0.250 0.250 1
```

***

[2]
Below is a relaxed RbNaSN2 crystal, with properties calculated at the GGA-PBEsol level.

Computed properties:
energy relative to the elements, uncorrected: 1.76 eV/atom
density: 1.7 g cm⁻³

The structure in CIF format:
```
data_RbNaSN2
_chemical_formula_sum 'Rb1 Na1 S1 N2'
_cell_length_a 5.233
_cell_length_b 5.233
_cell_length_c 6.032
_cell_angle_alpha 90.00
_cell_angle_beta 90.00
_cell_angle_gamma 90.00
_space_group_name_H-M_alt 'P 4/m m m'
_space_group_IT_number 123
_space_group_name_Hall '-P 4 2'
loop_
_atom_site_label
_atom_site_type_symbol
_atom_site_fract_x
_atom_site_fract_y
_atom_site_fract_z
_atom_site_occupancy
Rb1 Rb 0.000 0.000 0.000 1
Na1 Na 0.500 0.500 0.500 1
S1 S 0.000 0.000 0.500 1
N1 N 0.000 0.500 0.000 1
```

***

[3]
Below is a relaxed LiMg3 crystal, with properties calculated at the GGA-PBEsol level.

Computed properties:
raw total energy: -1.8044 eV/atom
density: 1.6 g cm⁻³

The structure in CIF format:
```
data_LiMg3
_chemical_formula_sum 'Li4 Mg12'
_cell_length_a 5.376
_cell_length_b 10.090
_cell_length_c 6.283
_cell_angle_alpha 90.00
_cell_angle_beta 90.00
_cell_angle_gamma 90.00
_space_group_name_H-M_alt 'P n m a'
_space_group_IT_number 62
_space_group_name_Hall '-P 2ac 2n'
loop_
_atom_site_label
_atom_site_type_symbol
_atom_site_fract_x
_atom_site_fract_y
_atom_site_fract_z
_atom_site_occupancy
Li1 Li 0.094 0.250 0.124 1
Mg1 Mg 0.083 0.250 0.623 1
Mg2 Mg 0.248 0.503 0.874 1
```

***

[4]
Below is a relaxed CaYRu4 crystal, with properties calculated at the GGA-PBEsol level.

Computed properties:
raw total energy: -8.3009 eV/atom
density: 8.6 g cm⁻³

The structure in CIF format:
```
data_CaYRu4
_chemical_formula_sum 'Ca4 Y4 Ru16'
_cell_length_a 7.435
_cell_length_b 7.435
_cell_length_c 7.435
_cell_angle_alpha 90.00
_cell_angle_beta 90.00
_cell_angle_gamma 90.00
_space_group_name_H-M_alt 'F -4 3 m'
_space_group_IT_number 216
_space_group_name_Hall 'F -4 2 3'
loop_
_atom_site_label
_atom_site_type_symbol
_atom_site_fract_x
_atom_site_fract_y
_atom_site_fract_z
_atom_site_occupancy
Ca1 Ca 0.000 0.000 0.000 1
Y1 Y 0.250 0.250 0.750 1
Ru1 Ru 0.125 0.125 0.375 1
```

***

[5]
Below is a relaxed B3Ru7 crystal, with properties calculated at the GGA-PBEsol level.

Computed properties:
raw total energy: -9.3750 eV/atom
density: 11.0 g cm⁻³

The structure in CIF format:
```
data_B3Ru7
_chemical_formula_sum 'B6 Ru14'
_cell_length_a 7.4145
_cell_length_b 7.4145
_cell_length_c 4.6896
_cell_angle_alpha 90.00
_cell_angle_beta 90.00
_cell_angle_gamma 120.00
_space_group_name_H-M_alt 'P 63 m c'
_space_group_IT_number 186
_space_group_name_Hall 'P 6c -2c'
loop_
_atom_site_label
_atom_site_type_symbol
_atom_site_fract_x
_atom_site_fract_y
_atom_site_fract_z
_atom_site_occupancy
B1 B 0.1898 0.3796 0.0000 1
Ru1 Ru 0.0861 0.5430 0.7333 1
Ru2 Ru 0.1219 0.2439 0.4122 1
Ru3 Ru 0.3333 0.6667 0.2410 1
```

***

[6]
Below is a relaxed Ca2BiAu2 crystal, with properties calculated at the GGA-PBEsol level.

Computed properties:
excess energy over the best structure of this formula in the dataset: 0.0 kJ per mole of atoms
density: 9.3 g cm⁻³

The structure in CIF format:
```
data_Ca2BiAu2
_chemical_formula_sum 'Ca4 Bi2 Au4'
_cell_length_a 8.060
_cell_length_b 8.060
_cell_length_c 3.738
_cell_angle_alpha 90.00
_cell_angle_beta 90.00
_cell_angle_gamma 90.00
_space_group_name_H-M_alt 'P 4/m b m'
_space_group_IT_number 127
_space_group_name_Hall '-P 4 2ab'
loop_
_atom_site_label
_atom_site_type_symbol
_atom_site_fract_x
_atom_site_fract_y
_atom_site_fract_z
_atom_site_occupancy
Ca1 Ca 0.173 0.327 0.000 1
Bi1 Bi 0.000 0.000 0.500 1
Au1 Au 0.121 0.621 0.500 1
```